[1]
Here is a relaxed NpTcSb crystal from the Alexandria database. Energies are from PBE.

abc: 3.176 5.840 6.595
angles: 87.58 89.93 74.22
Space group P-1 (No. 2)
One atom of each set of equivalent atoms:
Np1 0.217 0.065 0.135 x2
Tc1 0.356 0.786 0.556 x2
Sb1 0.046 0.408 0.750 x2

Results
- energy above the lowest structure with this stoichiometry (kJ/mol of atoms) = 6.1
- ΔE_f (raw) (eV per atom) = -0.0045
- total moment (μB/atom) = 0.184


[2]
Here is a relaxed LaSc2Sn2 crystal from the Alexandria database. Energies are from PBE.

abc: 4.590 4.590 13.136
angles: 90.00 90.00 90.00
Space group I4/mmm (No. 139)
One atom of each set of equivalent atoms:
La1 0.000 0.000 0.000 x2
Sc1 0.000 0.500 0.250 x4
Sn1 0.000 0.000 0.390 x4

Results
- E_form (eV/atom) = -0.633
- energy above the lowest structure with this stoichiometry (kJ/mol of atoms) = 0.0
- total moment (μB/atom) = 0.119